First-principles (PBE) data for an optimized crystal structure of AlS5I, as listed in the Alexandria database.

```
7
Lattice="3.664 0.000 0.000 1.216 7.219 0.000 0.898 0.687 7.637" Properties=species:S:1:pos:R:3 pbc="T T T"
Al 0.000 0.000 0.000
S 0.985 1.124 5.358
S 2.555 6.840 1.994
S 2.268 2.701 5.239
S 1.841 1.373 0.891
S 3.125 5.573 0.331
I 4.565 4.867 5.080
```

5
Lattice="5.378 0.000 0.000 0.000 5.378 0.000 0.000 0.000 5.198" Properties=species:S:1:pos:R:3 comment="AlSb2SI PBE relaxed" e_above_lowest_polymorph_mev_per_atom=32 pbc="T T T"
Al 0.000 0.000 0.000
Sb 0.000 2.689 0.000
Sb 2.689 0.000 0.000
S 2.689 2.689 2.599
I 0.000 0.000 2.599

5
Lattice="5.954 0.000 0.000 0.000 5.954 0.000 0.000 0.000 5.673" Properties=species:S:1:pos:R:3 comment="AlSbSI2 PBE relaxed" e_above_lowest_polymorph_mev_per_atom=475 pbc="T T T"
Al 0.000 0.000 0.000
Sb 0.000 0.000 2.837
S 2.977 2.977 0.000
I 0.000 2.977 2.837
I 2.977 0.000 2.837

5
Lattice="5.256 0.000 0.000 0.000 5.256 0.000 0.000 0.000 5.626" Properties=species:S:1:pos:R:3 comment="AlSb2SI PBE relaxed" e_above_lowest_polymorph_mev_per_atom=0 pbc="T T T"
Al 0.000 0.000 0.000
Sb 0.000 2.628 2.813
Sb 2.628 0.000 2.813
S 2.628 2.628 2.813
I 2.628 2.628 0.000

5
Lattice="5.258 0.000 0.000 0.000 5.258 0.000 0.000 0.000 5.757" Properties=species:S:1:pos:R:3 comment="AlSbSI2 PBE relaxed" e_above_lowest_polymorph_mev_per_atom=360 pbc="T T T"
Al 0.000 0.000 0.000
Sb 0.000 0.000 2.879
S 2.629 2.629 2.879
I 0.000 2.629 0.000
I 2.629 0.000 0.000

5
Lattice="5.723 0.000 0.000 0.000 5.723 0.000 0.000 0.000 5.212" Properties=species:S:1:pos:R:3 comment="AlSbSI2 PBE relaxed" e_above_lowest_polymorph_mev_per_atom=362 pbc="T T T"
Al 0.000 0.000 0.000
Sb 2.861 2.861 0.000
S 2.861 2.861 2.606
I 0.000 2.861 2.606
I 2.861 0.000 2.606

5
Lattice="6.137 0.000 0.000 0.000 6.137 0.000 0.000 0.000 5.035" Properties=species:S:1:pos:R:3 comment="AlSbSI2 PBE relaxed" e_above_lowest_polymorph_mev_per_atom=0 pbc="T T T"
Al 0.000 0.000 0.000
Sb 3.068 3.068 2.517
S 3.068 3.068 0.000
I 0.000 3.068 2.517
I 3.068 0.000 2.517

5
Lattice="5.607 0.000 0.000 0.000 5.607 0.000 0.000 0.000 5.380" Properties=species:S:1:pos:R:3 comment="AlTeSI2 PBE relaxed" e_above_lowest_polymorph_mev_per_atom=0 pbc="T T T"
Al 0.000 0.000 0.000
Te 2.804 2.804 0.000
S 2.804 2.804 2.690
I 0.000 2.804 2.690
I 2.804 0.000 2.690

5
Lattice="5.386 0.000 0.000 0.000 5.386 0.000 0.000 0.000 5.617" Properties=species:S:1:pos:R:3 comment="AlTeSI2 PBE relaxed" e_above_lowest_polymorph_mev_per_atom=32 pbc="T T T"
Al 0.000 0.000 0.000
Te 0.000 0.000 2.809
S 2.693 2.693 2.809
I 0.000 2.693 0.000
I 2.693 0.000 0.000

5
Lattice="5.318 0.000 0.000 0.000 5.318 0.000 0.000 0.000 5.625" Properties=species:S:1:pos:R:3 comment="AlTe2SI PBE relaxed" e_above_lowest_polymorph_mev_per_atom=0 pbc="T T T"
Al 0.000 0.000 0.000
Te 0.000 2.659 2.812
Te 2.659 0.000 2.812
S 2.659 2.659 2.812
I 2.659 2.659 0.000

5
Lattice="5.396 0.000 0.000 0.000 5.396 0.000 0.000 0.000 5.218" Properties=species:S:1:pos:R:3 comment="AlTe2SI PBE relaxed" e_above_lowest_polymorph_mev_per_atom=75 pbc="T T T"
Al 0.000 0.000 0.000
Te 0.000 2.698 0.000
Te 2.698 0.000 0.000
S 2.698 2.698 2.609
I 0.000 0.000 2.609

First-principles (PBE) data for an optimized crystal structure of AlW2SI, as listed in the Alexandria database.

```
5
Lattice="5.026 0.000 0.000 0.000 5.026 0.000 0.000 0.000 5.122" Properties=species:S:1:pos:R:3 pbc="T T T"
Al 0.000 0.000 0.000
W 0.000 2.513 2.561
W 2.513 0.000 2.561
S 2.513 2.513 0.000
I 2.513 2.513 2.561
```

Energy relative to the elements, uncorrected values, unit kJ/mol of formula units, following the record order: -107.6; 314.3; 303.0; 299.0; 247.7; 248.4; 73.8; 209.4; 225.0; 230.9; 267.2; 1236.7.